No. 1
PuTi2MnN4 | PBE-GGA | optimized geometry

Output
formation energy (no corrections): -1.200 eV/atom

Cell lengths 3.0927, 5.5550, 10.4865 Å; angles 90.00, 90.00, 106.16 degrees
Closest atoms and distances in Å follow each position.
Element x y z (fractional)
N 0.2689 0.5378 0.3862  1 Mn 1.84, 1 Ti 1.98
N 0.4384 0.8768 0.7500  2 Mn 1.87
N 0.5616 0.1232 0.2500  2 Mn 1.87
N 0.7311 0.4622 0.6138  1 Mn 1.84, 1 Ti 1.98
N 0.0000 0.0000 0.0000  4 Ti 2.13
N 0.2689 0.5378 0.1138  1 Mn 1.84, 1 Ti 1.98
N 0.7311 0.4622 0.8862  1 Mn 1.84, 1 Ti 1.98
N 0.0000 0.0000 0.5000  4 Ti 2.13
Ti 0.3697 0.7394 0.5451  3 N 1.98-2.13
Ti 0.6303 0.2606 0.4549  3 N 1.98-2.13
Ti 0.6303 0.2606 0.0451  3 N 1.98-2.13
Ti 0.3697 0.7394 0.9549  3 N 1.98-2.13
Mn 0.8402 0.6805 0.7500  4 N 1.84-1.87
Mn 0.1598 0.3195 0.2500  4 N 1.84-1.87
Pu 0.8981 0.7962 0.2500  6 N 2.33-2.52
Pu 0.1019 0.2038 0.7500  6 N 2.33-2.52

=====

No. 2
ErThZrSc | PBE-GGA | optimized geometry

Output
formation energy from the elements: 0.11 eV per atom
excess energy over the best structure of this formula in the dataset: 0.043 eV/atom

Cell lengths 5.3557, 5.3557, 5.3557 Å; angles 60.00, 60.00, 60.00 degrees
Closest atoms and distances in Å follow each position.
Element x y z (fractional)
Er 0.7500 0.7500 0.7500  4 Zr 3.28, 4 Sc 3.28
Th 0.2500 0.2500 0.2500  4 Zr 3.28, 4 Sc 3.28
Zr 0.5000 0.5000 0.5000  4 Er 3.28, 4 Th 3.28
Sc 0.0000 0.0000 0.0000  4 Th 3.28, 4 Er 3.28

=====

No. 3
Li2LaMoH8 | PBE-GGA | optimized geometry

Cell lengths 3.3060, 5.2038, 6.5550 Å; angles 88.84, 89.44, 87.17 degrees
Closest atoms and distances in Å follow each position.
Element x y z (fractional)
Mo 0.0000 0.0000 0.0000  8 H 1.85-1.93
H 0.5271 0.6962 0.5054  2 Li 2.01-2.08, 1 H 2.06
H 0.9865 0.2560 0.1917  1 Mo 1.85, 1 Li 2.02
H 0.9900 0.2571 0.8009  1 Mo 1.85, 1 Li 2.01
H 0.4863 0.1900 0.0023  2 Mo 1.92-1.93, 5 H 1.98-2.15
H 0.5137 0.8100 0.9977  2 Mo 1.92-1.93, 5 H 1.98-2.15
H 0.0135 0.7440 0.8083  1 Mo 1.85, 1 Li 2.02
H 0.4729 0.3038 0.4946  2 Li 2.01-2.08, 1 H 2.06
H 0.0100 0.7429 0.1991  1 Mo 1.85, 1 Li 2.01
Li 0.5061 0.5058 0.2301  8 H 2.01-2.25
Li 0.4939 0.4942 0.7699  8 H 2.01-2.25
La 0.0000 0.0000 0.5000  8 H 2.28-2.40

=====

Asked for electronic total energy across the records above, the calculation gives -10.27, -6.61, -4.05 eV per atom in order.